## one
DyMoOs | PBE-GGA | optimized geometry

Output
**Space group**: Pmmm, No. 47
**Volume**: 65.05 Å³ per cell
**Total moment**: 0.0 Bohr magnetons per cell

Lattice parameters (Å, degrees): 3.2538 3.9927 5.0075 90.00 90.00 90.00
Positions (direct):
Dy 0.0000 0.0000 0.0000
Mo 0.0000 0.5000 0.5000
Os 0.5000 0.0000 0.5000

***

## two
DyMoOs | PBE-GGA | optimized geometry

Output
**Space group**: Imma, No. 74
**Volume**: 226.84 Å³ per cell
**Total moment**: 0.0 Bohr magnetons per cell

Lattice parameters (Å, degrees): 5.3405 5.7100 7.4389 90.00 90.00 90.00
Positions (direct):
Dy 0.0000 0.2500 0.1297
Dy 0.0000 0.7500 0.8703
Dy 0.5000 0.2500 0.3703
Dy 0.5000 0.7500 0.6297
Mo 0.2500 0.2500 0.7500
Mo 0.2500 0.7500 0.2500
Mo 0.7500 0.2500 0.7500
Mo 0.7500 0.7500 0.2500
Os 0.0000 0.0000 0.5000
Os 0.0000 0.5000 0.5000
Os 0.5000 0.0000 0.0000
Os 0.5000 0.5000 0.0000

***

Quick one: least stable of them? one

***

## one
DyPa2Mo | PBE-GGA | optimized geometry

Output
**Space group**: P4/mmm, No. 123
**Volume**: 98.16 Å³ per cell
**Total moment**: 0.0 Bohr magnetons per cell

Lattice parameters (Å, degrees): 3.3968 3.3968 8.5078 90.00 90.00 90.00
Positions (direct):
Dy 0.0000 0.0000 0.0000
Pa 0.5000 0.5000 0.2934
Pa 0.5000 0.5000 0.7066
Mo 0.0000 0.0000 0.5000

***

## two
DyPa2Mo | PBE-GGA | optimized geometry

Output
**Space group**: R-3m, No. 166
**Volume**: 317.15 Å³ per cell
**Total moment**: 0.0 Bohr magnetons per cell

Lattice parameters (Å, degrees): 3.7010 3.7010 26.7364 90.00 90.00 120.00
Positions (direct):
Dy 0.0000 0.0000 0.0000
Dy 0.3333 0.6667 0.6667
Dy 0.6667 0.3333 0.3333
Pa 0.0000 0.0000 0.2313
Pa 0.0000 0.0000 0.7687
Pa 0.3333 0.6667 0.4354
Pa 0.3333 0.6667 0.8980
Pa 0.6667 0.3333 0.1020
Pa 0.6667 0.3333 0.5646
Mo 0.0000 0.0000 0.5000
Mo 0.3333 0.6667 0.1667
Mo 0.6667 0.3333 0.8333

***

Quick one: least stable of them? two